Compound: CuBiPd2
Source: Alexandria via LeMat-Bulk
Functional: PBE-GGA
Structure: relaxed

For the volume, the calculation gives 17.61 Å³ per atom. The formation energy is -0.1284 eV per atom.

The space group is P4/mmm (No. 123) and the conventional cell measures 3.329, 3.329 and 6.357 Å, with angles of 90.00, 90.00 and 90.00 degrees. The inequivalent atoms are Cu at (0.000, 0.000, 0.000), Bi at (0.000, 0.000, 0.500) and Pd at (0.500, 0.500, 0.217).

***

Compound: BeRuF2
Source: Alexandria via LeMat-Bulk
Functional: PBE-GGA
Structure: relaxed

The uncorrected formation energy comes out at -1.123 eV/atom. For the volume, the calculation gives 11.98 Å³ per atom.

The space group is Fd-3m (No. 227, origin choice 2) and the conventional cell measures 7.264, 7.264 and 7.264 Å, with angles of 90.00, 90.00 and 90.00 degrees. The inequivalent atoms are Be at (0.125, 0.125, 0.125), Ru at (0.125, 0.125, 0.625) and F at (0.000, 0.000, 0.000).